Entry 1:
DFT (PBE) results for a relaxed structure of Cd3In12Sn.

Cell lengths 4.556, 4.556, 20.384 Å; angles 90.00, 90.00, 90.00 degrees
Fractional coordinates of all 16 atoms:
Cd (0.000, 0.000, 0.254)
Cd (0.000, 0.000, 0.746)
Cd (0.000, 0.000, 0.500)
In (0.000, 0.500, 0.130)
In (0.500, 0.000, 0.623)
In (0.000, 0.500, 0.870)
In (0.500, 0.000, 0.870)
In (0.000, 0.500, 0.623)
In (0.500, 0.000, 0.130)
In (0.500, 0.000, 0.377)
In (0.500, 0.500, 0.500)
In (0.000, 0.500, 0.377)
In (0.500, 0.500, 0.254)
In (0.500, 0.500, 0.000)
In (0.500, 0.500, 0.746)
Sn (0.000, 0.000, 0.000)

Properties
raw total energy	-39.1	eV for the cell shown
theoretical density	7.197	g/cm³
energy of formation from the pure elements	0.03	eV/atom
density of states at the Fermi level	0.547	states/eV per atom
M_tot	0.00	μB per cell

Entry 2:
DFT (PBE) results for a relaxed structure of Cd3In5Sn12.

Cell lengths 15.019, 15.019, 15.019 Å; angles 109.47, 109.47, 109.47 degrees
Fractional coordinates of all 80 atoms:
In (0.500, 0.000, 0.500)
In (0.250, 0.875, 0.125)
In (0.750, 0.625, 0.375)
In (0.625, 0.875, 0.250)
In (0.000, 0.500, 0.500)
In (0.000, 0.000, 0.000)
In (0.000, 0.500, 0.000)
In (0.625, 0.750, 0.875)
In (0.125, 0.750, 0.375)
In (0.375, 0.250, 0.125)
In (0.875, 0.250, 0.625)
In (0.250, 0.375, 0.625)
In (0.750, 0.125, 0.875)
In (0.875, 0.625, 0.750)
In (0.375, 0.125, 0.750)
In (0.000, 0.000, 0.500)
In (0.500, 0.500, 0.000)
In (0.125, 0.375, 0.250)
In (0.500, 0.000, 0.000)
In (0.500, 0.500, 0.500)
Sn (0.400, 0.265, 0.333)
Sn (0.568, 0.333, 0.933)
Sn (0.567, 0.932, 0.667)
Sn (0.636, 0.068, 0.235)
Sn (0.900, 0.833, 0.765)
Sn (0.433, 0.364, 0.600)
Sn (0.933, 0.100, 0.864)
Sn (0.333, 0.765, 0.400)
Sn (0.067, 0.167, 0.432)
Sn (0.600, 0.735, 0.667)
Sn (0.667, 0.235, 0.600)
Sn (0.735, 0.136, 0.068)
Sn (0.735, 0.600, 0.167)
Sn (0.364, 0.433, 0.100)
Sn (0.265, 0.864, 0.932)
Sn (0.568, 0.235, 0.136)
Sn (0.100, 0.933, 0.364)
Sn (0.765, 0.432, 0.364)
Sn (0.432, 0.765, 0.864)
Sn (0.900, 0.067, 0.636)
Sn (0.433, 0.068, 0.333)
Sn (0.833, 0.933, 0.068)
Sn (0.235, 0.568, 0.636)
Sn (0.400, 0.136, 0.567)
Sn (0.765, 0.333, 0.900)
Sn (0.333, 0.568, 0.433)
Sn (0.067, 0.900, 0.136)
Sn (0.636, 0.567, 0.900)
Sn (0.864, 0.265, 0.432)
Sn (0.932, 0.567, 0.167)
Sn (0.933, 0.833, 0.568)
Sn (0.600, 0.864, 0.433)
Sn (0.265, 0.400, 0.833)
Sn (0.136, 0.735, 0.568)
Sn (0.235, 0.667, 0.100)
Sn (0.567, 0.636, 0.400)
Sn (0.068, 0.636, 0.735)
Sn (0.167, 0.100, 0.735)
Sn (0.136, 0.400, 0.067)
Sn (0.068, 0.433, 0.833)
Sn (0.864, 0.600, 0.933)
Sn (0.100, 0.167, 0.235)
Sn (0.167, 0.067, 0.932)
Sn (0.833, 0.900, 0.265)
Sn (0.364, 0.932, 0.765)
Sn (0.667, 0.432, 0.567)
Sn (0.432, 0.667, 0.067)
Sn (0.932, 0.364, 0.265)
Cd (0.750, 0.875, 0.625)
Cd (0.875, 0.750, 0.125)
Cd (0.125, 0.875, 0.750)
Cd (0.375, 0.750, 0.625)
Cd (0.750, 0.375, 0.125)
Cd (0.625, 0.375, 0.750)
Cd (0.125, 0.250, 0.875)
Cd (0.375, 0.625, 0.250)
Cd (0.625, 0.250, 0.375)
Cd (0.875, 0.125, 0.250)
Cd (0.250, 0.125, 0.375)
Cd (0.250, 0.625, 0.875)

Properties
raw total energy	-244.1	eV for the cell shown
theoretical density	5.949	g/cm³
energy of formation from the pure elements	0.17	eV/atom
density of states at the Fermi level	0.422	states/eV per atom
M_tot	0.00	μB per cell

Entry 3:
DFT (PBE) results for a relaxed structure of Cd3In8Sn2.

Cell lengths 4.877, 8.855, 9.640 Å; angles 117.34, 90.00, 90.00 degrees
Fractional coordinates of all 13 atoms:
In (0.000, 0.115, 0.230)
In (0.500, 0.610, 0.767)
In (0.500, 0.390, 0.233)
In (0.000, 0.347, 0.695)
In (0.500, 0.843, 0.233)
In (0.500, 0.157, 0.767)
In (0.000, 0.885, 0.770)
In (0.000, 0.653, 0.305)
Cd (0.500, 0.000, 0.000)
Cd (0.000, 0.693, 0.000)
Cd (0.000, 0.307, 0.000)
Sn (0.500, 0.234, 0.468)
Sn (0.500, 0.766, 0.532)

Properties
raw total energy	-31.7	eV for the cell shown
theoretical density	6.705	g/cm³
energy of formation from the pure elements	0.07	eV/atom
density of states at the Fermi level	0.385	states/eV per atom
M_tot	0.00	μB per cell

Entry 4:
DFT (PBE) results for a relaxed structure of Cd3In3Sn2.

Cell lengths 4.347, 7.598, 7.598 Å; angles 119.99, 90.00, 90.00 degrees
Fractional coordinates of all 8 atoms:
Sn (0.000, 0.333, 0.667)
Sn (0.000, 0.667, 0.333)
In (0.500, 0.000, 0.368)
In (0.500, 0.632, 0.632)
In (0.500, 0.368, 0.000)
Cd (0.000, 0.000, 0.772)
Cd (0.000, 0.772, 0.000)
Cd (0.000, 0.228, 0.228)

Properties
raw total energy	-18.4	eV for the cell shown
theoretical density	7.023	g/cm³
energy of formation from the pure elements	0.08	eV/atom
density of states at the Fermi level	0.480	states/eV per atom
M_tot	0.00	μB per cell

Entry 5:
DFT (PBE) results for a relaxed structure of Cd3InSn3.

Cell lengths 8.009, 8.009, 8.009 Å; angles 90.00, 90.00, 90.00 degrees
Fractional coordinates of all 14 atoms:
Sn (0.500, 0.000, 0.250)
Sn (0.000, 0.250, 0.500)
Sn (0.250, 0.500, 0.000)
Sn (0.000, 0.750, 0.500)
Sn (0.750, 0.500, 0.000)
Sn (0.500, 0.000, 0.750)
Cd (0.750, 0.000, 0.500)
Cd (0.000, 0.500, 0.750)
Cd (0.500, 0.750, 0.000)
Cd (0.500, 0.250, 0.000)
Cd (0.250, 0.000, 0.500)
Cd (0.000, 0.500, 0.250)
In (0.500, 0.500, 0.500)
In (0.000, 0.000, 0.000)

Properties
raw total energy	-29.7	eV for the cell shown
theoretical density	5.224	g/cm³
energy of formation from the pure elements	0.38	eV/atom
density of states at the Fermi level	0.698	states/eV per atom
M_tot	0.00	μB per cell

Entry 6:
DFT (PBE) results for a relaxed structure of Cd2In8Sn.

Cell lengths 3.290, 7.855, 12.027 Å; angles 82.54, 81.02, 94.09 degrees
Fractional coordinates of all 11 atoms:
In (0.725, 0.295, 0.543)
In (0.851, 0.023, 0.251)
In (0.972, 0.651, 0.152)
In (0.493, 0.325, 0.052)
In (0.507, 0.676, 0.887)
In (0.273, 0.705, 0.396)
In (0.147, 0.977, 0.688)
In (0.027, 0.350, 0.787)
Cd (0.356, 0.341, 0.319)
Cd (0.643, 0.660, 0.620)
Sn (0.000, 0.000, 0.970)

Properties
raw total energy	-27.2	eV for the cell shown
theoretical density	6.915	g/cm³
energy of formation from the pure elements	0.05	eV/atom
density of states at the Fermi level	0.327	states/eV per atom
M_tot	0.00	μB per cell